(1)
# SnPb3, single point on PBEsol structure, DFT meta-GGA SCAN
# - calculated formation energy (meV per atom) = 80
data_SnPb3
_cell_length_a 6.9481
_cell_length_b 6.9481
_cell_length_c 5.4762
_cell_angle_alpha 90.00
_cell_angle_beta 90.00
_cell_angle_gamma 120.00
_space_group_name_H-M_alt 'P 63/m m c'
_space_group_IT_number 194
_space_group_name_Hall '-P 6c 2c'
loop_
_atom_site_label
_atom_site_fract_x
_atom_site_fract_y
_atom_site_fract_z
Sn1 0.3333 0.6667 0.2500
Pb1 0.1690 0.3379 0.7500

(2)
# Zr2Ir, single point on PBEsol structure, DFT meta-GGA SCAN
# - calculated formation energy (meV per atom) = -582
data_Zr2Ir
_cell_length_a 4.5617
_cell_length_b 4.5617
_cell_length_c 3.0169
_cell_angle_alpha 90.00
_cell_angle_beta 90.00
_cell_angle_gamma 120.00
_space_group_name_H-M_alt 'P -3 m 1'
_space_group_IT_number 164
_space_group_name_Hall '-P 3 2"'
loop_
_atom_site_label
_atom_site_fract_x
_atom_site_fract_y
_atom_site_fract_z
Zr1 0.3333 0.6667 0.1775
Ir1 0.0000 0.0000 0.5000

(3)
# LiMg2Au, single point on PBEsol structure, DFT meta-GGA SCAN
# - calculated formation energy (meV per atom) = -528
data_LiMg2Au
_cell_length_a 3.999
_cell_length_b 3.999
_cell_length_c 8.635
_cell_angle_alpha 90.00
_cell_angle_beta 90.00
_cell_angle_gamma 90.00
_space_group_name_H-M_alt 'I -4 m 2'
_space_group_IT_number 119
_space_group_name_Hall 'I -4 -2'
loop_
_atom_site_label
_atom_site_fract_x
_atom_site_fract_y
_atom_site_fract_z
Li1 0.000 0.000 0.000
Mg1 0.000 0.000 0.500
Mg2 0.000 0.500 0.250
Au1 0.000 0.500 0.750

(4)
# K3TaI, single point on PBEsol structure, DFT meta-GGA SCAN
# - formation energy without anion corrections (kcal/mol of atoms) = 19.0
data_K3TaI
_cell_length_a 6.506
_cell_length_b 6.506
_cell_length_c 6.506
_cell_angle_alpha 90.00
_cell_angle_beta 90.00
_cell_angle_gamma 90.00
_space_group_name_H-M_alt 'P m -3 m'
_space_group_IT_number 221
_space_group_name_Hall '-P 4 2 3'
loop_
_atom_site_label
_atom_site_fract_x
_atom_site_fract_y
_atom_site_fract_z
K1 0.000 0.000 0.500
Ta1 0.000 0.000 0.000
I1 0.500 0.500 0.500

(5)
# MgCoNi2Se, single point on PBEsol structure, DFT meta-GGA SCAN
# - formation energy without anion corrections (kcal/mol of atoms) = 6.8
data_MgCoNi2Se
_cell_length_a 4.288
_cell_length_b 4.288
_cell_length_c 4.273
_cell_angle_alpha 90.00
_cell_angle_beta 90.00
_cell_angle_gamma 90.00
_space_group_name_H-M_alt 'P 4/m m m'
_space_group_IT_number 123
_space_group_name_Hall '-P 4 2'
loop_
_atom_site_label
_atom_site_fract_x
_atom_site_fract_y
_atom_site_fract_z
Mg1 0.000 0.000 0.000
Co1 0.500 0.500 0.000
Ni1 0.000 0.500 0.500
Se1 0.500 0.500 0.500

(6)
# Li2Si4Ni2O11, single point on PBEsol structure, DFT meta-GGA SCAN
# - formation energy without anion corrections (kcal/mol of atoms) = -59.3
data_Li2Si4Ni2O11
_cell_length_a 6.864
_cell_length_b 7.285
_cell_length_c 8.602
_cell_angle_alpha 98.84
_cell_angle_beta 101.31
_cell_angle_gamma 104.91
_space_group_name_H-M_alt 'P -1'
_space_group_IT_number 2
loop_
_space_group_symop_operation_xyz
'x,y,z'
'-x,-y,-z'
loop_
_atom_site_label
_atom_site_fract_x
_atom_site_fract_y
_atom_site_fract_z
Li1 0.110 0.290 0.196
Li2 0.367 0.750 0.837
Si1 0.020 0.725 0.229
Si2 0.262 0.103 0.969
Si3 0.268 0.477 0.586
Si4 0.458 0.724 0.235
Ni1 0.127 0.889 0.604
Ni2 0.381 0.113 0.393
O1 0.082 0.919 0.374
O2 0.100 0.237 0.941
O3 0.120 0.462 0.719
O4 0.175 0.301 0.428
O5 0.175 0.896 0.842
O6 0.207 0.648 0.185
O7 0.317 0.703 0.574
O8 0.323 0.114 0.159
O9 0.433 0.079 0.623
O10 0.478 0.239 0.933
O11 0.483 0.458 0.701